[1]
! PBE-GGA UPa2Al, relaxed; values from VASP
! - energy of formation (meV/atom) = -68
&SYSTEM
  ibrav = 0, nat = 4, ntyp = 3
/
ATOMIC_SPECIES
U 238.03 U.upf
Pa 231.04 Pa.upf
Al 26.98 Al.upf
CELL_PARAMETERS angstrom
3.276 -4.337 0.000
3.276 4.337 0.000
0.000 0.000 3.093
ATOMIC_POSITIONS angstrom
U 0.000 0.000 0.000
Pa 1.638 2.168 1.547
Pa 1.638 -2.168 1.547
Al 3.276 0.000 0.000



[2]
! PBE-GGA BaOsCl, relaxed; values from VASP
! - uncorrected formation energy (eV/atom) = 0.81
&SYSTEM
  ibrav = 0, nat = 3, ntyp = 3
/
ATOMIC_SPECIES
Ba 137.33 Ba.upf
Os 190.23 Os.upf
Cl 35.45 Cl.upf
CELL_PARAMETERS angstrom
0.000 3.863 3.863
3.863 0.000 3.863
3.863 3.863 0.000
ATOMIC_POSITIONS angstrom
Ba 0.000 0.000 0.000
Os 5.794 5.794 5.794
Cl 1.931 1.931 1.931



[3]
! PBE-GGA PrSm3Al4, relaxed; values from VASP
! - energy of formation (meV/atom) = -363
&SYSTEM
  ibrav = 0, nat = 8, ntyp = 3
/
ATOMIC_SPECIES
Pr 140.91 Pr.upf
Sm 150.36 Sm.upf
Al 26.98 Al.upf
CELL_PARAMETERS angstrom
5.227 0.000 0.000
0.000 5.227 0.000
0.000 0.000 7.424
ATOMIC_POSITIONS angstrom
Pr 0.000 0.000 0.000
Sm 0.000 0.000 3.712
Sm 2.614 2.614 0.000
Sm 2.614 2.614 3.712
Al 0.000 2.614 1.888
Al 0.000 2.614 5.536
Al 2.614 0.000 1.888
Al 2.614 0.000 5.536



[4]
! PBE-GGA SiTc2Ir, relaxed; values from VASP
! - uncorrected formation energy (eV/atom) = -0.17
&SYSTEM
  ibrav = 0, nat = 4, ntyp = 3
/
ATOMIC_SPECIES
Si 28.09 Si.upf
Tc 98.00 Tc.upf
Ir 192.22 Ir.upf
CELL_PARAMETERS angstrom
1.380 0.797 8.510
-1.380 0.797 8.510
0.000 -1.594 8.510
ATOMIC_POSITIONS angstrom
Si 0.000 0.000 0.000
Tc 0.000 0.000 6.471
Tc 0.000 0.000 19.058
Ir 0.000 0.000 12.765



[5]
! PBE-GGA Zr2TaTe, relaxed; values from VASP
! - uncorrected formation energy (eV/atom) = -0.22
&SYSTEM
  ibrav = 0, nat = 4, ntyp = 3
/
ATOMIC_SPECIES
Zr 91.22 Zr.upf
Ta 180.95 Ta.upf
Te 127.60 Te.upf
CELL_PARAMETERS angstrom
3.080 -3.842 0.000
3.080 3.842 0.000
0.000 0.000 3.576
ATOMIC_POSITIONS angstrom
Zr 1.540 1.921 0.000
Zr 1.540 -1.921 0.000
Ta 0.000 0.000 1.788
Te 3.080 0.000 1.788



[6]
! PBE-GGA Ba2PdBr2O2, relaxed; values from VASP
! - uncorrected formation energy (eV/atom) = -1.80
&SYSTEM
  ibrav = 0, nat = 7, ntyp = 4
/
ATOMIC_SPECIES
Ba 137.33 Ba.upf
Pd 106.42 Pd.upf
Br 79.90 Br.upf
O 16.00 O.upf
CELL_PARAMETERS angstrom
-2.121 2.121 9.272
2.121 -2.121 9.272
2.121 2.121 -9.272
ATOMIC_POSITIONS angstrom
Ba 0.000 0.000 1.880
Ba 0.000 0.000 16.665
Pd 0.000 0.000 9.272
Br 0.000 0.000 5.907
Br 0.000 0.000 12.637
O 2.121 0.000 0.000
O 0.000 2.121 0.000



[7]
! PBE-GGA Pm3CdI3, relaxed; values from VASP
! - uncorrected formation energy (eV/atom) = -0.87
&SYSTEM
  ibrav = 0, nat = 28, ntyp = 3
/
ATOMIC_SPECIES
Pm 145.00 Pm.upf
Cd 112.41 Cd.upf
I 126.90 I.upf
CELL_PARAMETERS angstrom
-6.294 6.294 6.294
6.294 -6.294 6.294
6.294 6.294 -6.294
ATOMIC_POSITIONS angstrom
Pm 1.679 1.573 -1.468
Pm 7.762 1.679 -1.573
Pm 1.573 -1.468 1.679
Pm 4.826 4.615 -1.573
Pm 4.615 1.573 1.468
Pm -1.468 1.679 1.573
Pm 4.615 -1.573 4.826
Pm 1.573 1.468 4.615
Pm 1.468 4.615 1.573
Pm 1.679 -1.573 7.762
Pm -1.573 7.762 1.679
Pm -1.573 4.826 4.615
Cd 4.720 1.573 -1.573
Cd 1.573 1.573 1.573
Cd 1.573 -1.573 4.720
Cd -1.573 4.720 1.573
I 7.867 1.471 1.676
I 7.867 -1.471 4.618
I 4.618 7.867 -1.471
I 4.823 1.676 4.720
I 4.720 4.823 1.676
I 1.676 7.867 1.471
I 7.765 4.618 4.720
I 1.676 4.720 4.823
I 1.471 1.676 7.867
I 4.720 7.765 4.618
I -1.471 4.618 7.867
I 4.618 4.720 7.765



[8]
! PBE-GGA Ac5TbTm, relaxed; values from VASP
! - energy of formation (meV/atom) = 225
&SYSTEM
  ibrav = 0, nat = 14, ntyp = 3
/
ATOMIC_SPECIES
Ac 227.00 Ac.upf
Tb 158.93 Tb.upf
Tm 168.93 Tm.upf
CELL_PARAMETERS angstrom
3.323 -9.240 0.000
3.323 9.240 0.000
-2.596 0.000 9.648
ATOMIC_POSITIONS angstrom
Ac -0.326 3.393 6.230
Ac 1.376 6.788 7.236
Ac 2.492 2.659 0.348
Ac 0.972 -3.393 1.406
Ac 2.856 2.659 4.476
Ac 1.195 -2.659 5.172
Ac 3.079 3.393 8.243
Ac 1.558 -2.659 9.300
Ac 2.674 -6.788 2.412
Ac 4.377 -3.393 3.419
Tb 1.376 0.273 7.236
Tb 2.674 -0.273 2.412
Tm 0.000 0.000 0.000
Tm -1.298 0.000 4.824



[9]
! PBE-GGA IrAu3, relaxed; values from VASP
! - energy of formation (meV/atom) = 283
&SYSTEM
  ibrav = 0, nat = 8, ntyp = 2
/
ATOMIC_SPECIES
Ir 192.22 Ir.upf
Au 196.97 Au.upf
CELL_PARAMETERS angstrom
2.869 -5.088 0.000
2.869 5.088 0.000
0.000 0.000 4.742
ATOMIC_POSITIONS angstrom
Ir 2.869 4.505 3.557
Ir 2.869 -4.505 1.186
Au 1.434 1.791 3.557
Au 2.869 0.798 1.186
Au 1.434 -1.791 1.186
Au 4.304 1.791 3.557
Au 2.869 -0.798 3.557
Au 4.304 -1.791 1.186



[10]
! PBE-GGA Er2HgOs, relaxed; values from VASP
! - energy of formation (meV/atom) = -421
&SYSTEM
  ibrav = 0, nat = 4, ntyp = 3
/
ATOMIC_SPECIES
Er 167.26 Er.upf
Hg 200.59 Hg.upf
Os 190.23 Os.upf
CELL_PARAMETERS angstrom
3.427 0.000 0.000
0.000 3.427 0.000
0.000 0.000 7.566
ATOMIC_POSITIONS angstrom
Er 0.000 0.000 1.645
Er 0.000 0.000 5.920
Hg 1.714 1.714 3.783
Os 1.714 1.714 0.000



[11]
! PBE-GGA RuPtN, relaxed; values from VASP
! - uncorrected formation energy (eV/atom) = 0.74
&SYSTEM
  ibrav = 0, nat = 12, ntyp = 3
/
ATOMIC_SPECIES
Ru 101.07 Ru.upf
Pt 195.08 Pt.upf
N 14.01 N.upf
CELL_PARAMETERS angstrom
0.000 4.235 5.669
3.784 0.000 5.669
3.784 4.235 0.000
ATOMIC_POSITIONS angstrom
Ru 5.181 3.177 4.252
Ru 7.072 5.294 7.086
Ru 0.495 3.177 4.252
Ru 2.387 5.294 7.086
Pt 2.838 3.177 2.922
Pt 2.838 3.177 5.581
Pt 4.730 5.294 5.756
Pt 4.730 5.294 8.416
N 0.000 0.000 0.000
N 1.892 2.118 0.000
N 1.892 0.000 2.834
N 0.000 2.118 2.834



[12]
! PBE-GGA ZnRe2MoOs, relaxed; values from VASP
! - energy of formation (meV/atom) = 2422
&SYSTEM
  ibrav = 0, nat = 5, ntyp = 4
/
ATOMIC_SPECIES
Zn 65.41 Zn.upf
Re 186.21 Re.upf
Mo 95.94 Mo.upf
Os 190.23 Os.upf
CELL_PARAMETERS angstrom
4.639 0.000 0.000
0.000 4.639 0.000
0.000 0.000 4.606
ATOMIC_POSITIONS angstrom
Zn 0.000 0.000 0.000
Re 0.000 2.319 2.303
Re 2.319 0.000 2.303
Mo 0.000 0.000 2.303
Os 2.319 2.319 0.000



Number 1: E -8.5733 eV per atom. Number 2: E -4.1935 eV per atom. Number 3: E -4.6014 eV per atom. Number 4: E -8.9216 eV per atom. Number 5: E -8.2467 eV per atom. Number 6: E -4.9875 eV per atom. Number 7: E -3.7051 eV per atom. Number 8: E -4.0101 eV per atom. Number 9: E -4.3905 eV per atom. Number 10: E -5.5851 eV per atom. Number 11: E -7.1448 eV per atom. Number 12: E -7.2240 eV per atom.